Ca2MgTlGa: optimized geometry, PBE-GGA.

Summary:
final energy = -0.1576 Ry per atom
space group = P4/mmm, No. 123
formation energy = 54 meV/atom

Geometry as POSCAR:
```
Ca2MgTlGa
1.0
5.763 0.000 0.000
0.000 5.763 0.000
0.000 0.000 5.322
Ca Mg Tl Ga
2 1 1 1
Direct
0.000 0.500 0.000
0.500 0.000 0.000
0.000 0.000 0.500
0.500 0.500 0.500
0.500 0.500 0.000
```